1.
Li2CaTe after structural relaxation, computed with PBE.

Values from the calculation:
Space-group type: No. 122
Total moment (Bohr magnetons per cell): 0.000
E (eV per atom): -2.787
Raw formation energy (meV per atom): -544

Cell: 4.4183 4.4183 11.7166 Å, 79.13 79.13 90.00°
Last column: nearest neighbours and their distance in Å.
Sites, in units of the cell vectors:
Ca1 0.5000 0.5000 0.0000  4 Te 3.12, 4 Li 3.29
Ca2 0.2500 0.7500 0.5000  4 Te 3.12, 4 Li 3.29
Te1 0.0000 0.0000 0.0000  4 Ca 3.12, 4 Li 3.17
Te2 0.7500 0.2500 0.5000  4 Ca 3.12, 4 Li 3.17
Li1 0.6642 0.1250 0.2500  2 Li 2.89, 2 Te 3.17
Li2 0.0858 0.6250 0.2500  2 Li 2.89, 2 Te 3.17
Li3 0.3750 0.3358 0.7500  2 Li 2.89, 2 Te 3.17
Li4 0.8750 0.9142 0.7500  2 Li 2.89, 2 Te 3.17

2.
Rb2BaAlCl8 after structural relaxation, computed with PBE.

Values from the calculation:
Space-group type: No. 164
Total moment (Bohr magnetons per cell): 1.129
E (eV per atom): -3.532
Raw formation energy (meV per atom): -1668

Cell: 7.1673 7.1673 8.1777 Å, 90.00 90.00 120.00°
Last column: nearest neighbours and their distance in Å.
Sites, in units of the cell vectors:
Rb1 0.6667 0.3333 0.1230  4 Cl 3.11-3.31
Rb2 0.3333 0.6667 0.8770  4 Cl 3.11-3.31
Ba1 0.0000 0.0000 0.5000  6 Cl 3.27
Al1 0.0000 0.0000 0.0000  6 Cl 2.35
Cl1 0.8487 0.6973 0.8275  1 Al 2.35
Cl2 0.3027 0.1513 0.8275  1 Al 2.35
Cl3 0.8487 0.1513 0.8275  1 Al 2.35
Cl4 0.1513 0.3027 0.1725  1 Al 2.35
Cl5 0.6973 0.8487 0.1725  1 Al 2.35
Cl6 0.1513 0.8487 0.1725  1 Al 2.35
Cl7 0.6667 0.3333 0.5037  1 Rb 3.11, 3 Cl 3.48
Cl8 0.3333 0.6667 0.4963  1 Rb 3.11, 3 Cl 3.48

3.
Mg6PdRh after structural relaxation, computed with PBE.

Values from the calculation:
Space-group type: No. 139
Total moment (Bohr magnetons per cell): 0.000
E (eV per atom): -3.117
E_form (eV per atom): -0.35

Cell: 4.5218 4.5217 8.0986 Å, 73.79 73.79 90.00°
Last column: nearest neighbours and their distance in Å.
Sites, in units of the cell vectors:
Mg1 0.7458 0.7458 0.5085  12 Mg 3.12-3.20
Mg2 0.6017 0.1017 0.7966  2 Rh 2.72, 2 Pd 2.72, 1 Mg 3.03
Mg3 0.1017 0.6017 0.7966  2 Pd 2.72, 2 Rh 2.72, 1 Mg 3.03
Mg4 0.3983 0.8983 0.2034  2 Rh 2.72, 2 Pd 2.72, 1 Mg 3.03
Mg5 0.2542 0.2542 0.4915  12 Mg 3.12-3.20
Mg6 0.8983 0.3983 0.2034  2 Pd 2.72, 2 Rh 2.72, 1 Mg 3.03
Pd1 0.0000 0.0000 0.0000  8 Mg 2.72
Rh1 0.5000 0.5000 0.0000  8 Mg 2.72

4.
BaMn2In after structural relaxation, computed with PBE.

Values from the calculation:
Space-group type: No. 12
Total moment (Bohr magnetons per cell): 8.075
E (eV per atom): -5.011
E_form (eV per atom): 0.74

Cell: 6.2145 6.2262 3.2237 Å, 77.12 85.87 118.71°
Last column: nearest neighbours and their distance in Å.
Sites, in units of the cell vectors:
Ba1 0.0000 0.5000 0.5000  4 Mn 3.17, 2 Ba 3.22, 2 In 3.40
In1 0.5000 0.5000 0.0000  4 Mn 3.17, 2 In 3.22, 2 Ba 3.40
Mn1 0.0000 0.0000 0.0000  2 Ba 3.17, 2 In 3.17, 4 Mn 3.22-3.40
Mn2 0.5000 0.0000 0.5000  2 In 3.17, 2 Ba 3.17, 4 Mn 3.22-3.40

5.
Tb2SmYTm after structural relaxation, computed with PBE.

Values from the calculation:
Space-group type: No. 63
Total moment (Bohr magnetons per cell): 0.000
E (eV per atom): -4.601
E_form (eV per atom): 0.38

Cell: 7.1896 8.3584 7.1030 Å, 126.04 90.00 90.00°
Last column: nearest neighbours and their distance in Å.
Sites, in units of the cell vectors:
Tb1 0.5000 0.3077 0.0000  2 Tm 3.14, 1 Tb 3.21, 2 Sm 3.49
Tb2 0.0000 0.6923 0.0000  2 Tm 3.14, 1 Tb 3.21, 2 Sm 3.49
Tb3 0.5000 0.6923 0.0000  2 Tm 3.14, 1 Tb 3.21, 2 Sm 3.49
Tb4 0.0000 0.3077 0.0000  2 Tm 3.14, 1 Tb 3.21, 2 Sm 3.49
Sm1 0.2500 0.7202 0.4403  1 Tm 3.07
Sm2 0.7500 0.2798 0.5597  1 Tm 3.07
Y1 0.7500 0.7336 0.4672  1 Tm 3.20
Y2 0.2500 0.2664 0.5328  1 Tm 3.20
Tm1 0.2500 0.9876 0.9752  1 Sm 3.07, 4 Tb 3.14, 1 Y 3.20
Tm2 0.7500 0.0124 0.0248  1 Sm 3.07, 4 Tb 3.14, 1 Y 3.20

6.
PuSiNi after structural relaxation, computed with PBE.

Values from the calculation:
Space-group type: No. 2
Total moment (Bohr magnetons per cell): 10.665
E (eV per atom): -8.996
Raw formation energy (meV per atom): -484

Cell: 3.9584 5.1491 7.2778 Å, 130.72 105.85 89.99°
Last column: nearest neighbours and their distance in Å.
Sites, in units of the cell vectors:
Ni1 0.6684 0.5804 0.3370  3 Si 2.29-2.40, 2 Ni 2.51
Ni2 0.0841 0.6721 0.1684  3 Si 2.29-2.40, 2 Ni 2.51
Si1 0.2815 0.7857 0.5625  3 Ni 2.29-2.40
Si2 0.4711 0.4669 0.9428  3 Ni 2.29-2.40
Pu1 0.7655 0.2475 0.5319  4 Ni 2.70-2.99, 1 Pu 2.90, 2 Si 3.01
Pu2 0.9872 0.0050 0.9735  4 Ni 2.70-2.99, 1 Pu 2.90, 2 Si 3.01

7.
CuHg2Os after structural relaxation, computed with PBE.

Values from the calculation:
Space-group type: No. 139
Total moment (Bohr magnetons per cell): 0.069
E (eV per atom): -3.185
E_form (eV per atom): 0.80

Cell: 4.8085 4.8085 4.8085 Å, 126.68 126.68 78.77°
Last column: nearest neighbours and their distance in Å.
Sites, in units of the cell vectors:
Cu1 0.7500 0.2500 0.5000  8 Hg 2.85, 4 Os 3.05
Hg1 0.0000 0.0000 0.0000  4 Os 2.85, 4 Cu 2.85, 4 Hg 3.05
Hg2 0.5000 0.5000 0.0000  4 Cu 2.85, 4 Os 2.85, 4 Hg 3.05
Os1 0.2500 0.7500 0.5000  8 Hg 2.85, 4 Cu 3.05

8.
BaSr3Al8 after structural relaxation, computed with PBE.

Values from the calculation:
Space-group type: No. 160
Total moment (Bohr magnetons per cell): 0.000
E (eV per atom): -3.314
E_form (eV per atom): -0.24

Cell: 5.9011 5.9011 10.2443 Å, 73.26 73.26 60.00°
Last column: nearest neighbours and their distance in Å.
Sites, in units of the cell vectors:
Ba1 0.8750 0.8750 0.3751  12 Al 3.46-3.50, 4 Sr 3.61-3.62
Sr1 0.3749 0.3749 0.8753  12 Al 3.43-3.46, 4 Sr 3.62-3.64
Sr2 0.9998 0.9998 0.0007  12 Al 3.44-3.46, 3 Sr 3.62, 1 Ba 3.62
Sr3 0.5003 0.5003 0.4991  12 Al 3.46-3.49, 3 Ba 3.61, 1 Sr 3.64
Al1 0.9396 0.4384 0.1836  6 Al 2.91-2.97
Al2 0.4355 0.9366 0.6913  6 Al 2.94-3.00
Al3 0.4384 0.4384 0.1836  6 Al 2.91-2.97
Al4 0.9366 0.9366 0.6913  6 Al 2.94-3.00
Al5 0.1882 0.1882 0.4355  6 Al 2.97-3.00
Al6 0.6869 0.6869 0.9394  6 Al 2.91-2.94
Al7 0.4384 0.9396 0.1836  6 Al 2.91-2.97
Al8 0.9366 0.4355 0.6913  6 Al 2.94-3.00

9.
FeSiTc2 after structural relaxation, computed with PBE.

Values from the calculation:
Space-group type: No. 216
Total moment (Bohr magnetons per cell): 1.973
E (eV per atom): -8.730
Raw formation energy (meV per atom): -76

Cell: 4.2043 4.2043 4.2043 Å, 60.00 60.00 60.00°
Last column: nearest neighbours and their distance in Å.
Sites, in units of the cell vectors:
Fe1 0.5000 0.5000 0.5000  4 Tc 2.57, 4 Si 2.57
Si1 0.7500 0.7500 0.7500  4 Tc 2.57, 4 Fe 2.57
Tc1 0.0000 0.0000 0.0000  4 Si 2.57, 4 Tc 2.57
Tc2 0.2500 0.2500 0.2500  4 Fe 2.57, 4 Tc 2.57

10.
BaNa2Li after structural relaxation, computed with PBE.

Values from the calculation:
Space-group type: No. 225
Total moment (Bohr magnetons per cell): 0.000
E (eV per atom): -1.537
E_form (eV per atom): 0.08

Cell: 6.1092 6.1092 6.1092 Å, 60.00 60.00 60.00°
Last column: nearest neighbours and their distance in Å.
Sites, in units of the cell vectors:
Na1 0.2500 0.2500 0.2500  4 Ba 3.74, 4 Li 3.74
Na2 0.7500 0.7500 0.7500  4 Ba 3.74, 4 Li 3.74
Ba1 0.5000 0.5000 0.5000  8 Na 3.74
Li1 0.0000 0.0000 0.0000  8 Na 3.74

11.
Mg2RuSe after structural relaxation, computed with PBE.

Values from the calculation:
Space-group type: No. 119
Total moment (Bohr magnetons per cell): 0.000
E (eV per atom): -4.077
Raw formation energy (meV per atom): -90

Cell: 5.2176 5.2176 5.2176 Å, 135.72 135.72 64.41°
Last column: nearest neighbours and their distance in Å.
Sites, in units of the cell vectors:
Mg1 0.0000 0.0000 0.0000  4 Ru 2.78, 4 Se 2.96, 4 Mg 2.96
Mg2 0.2500 0.7500 0.5000  4 Se 2.78, 4 Mg 2.96, 4 Ru 2.96
Ru1 0.5000 0.5000 0.0000  8 Mg 2.78-2.96, 4 Se 2.96
Se1 0.7500 0.2500 0.5000  8 Mg 2.78-2.96, 4 Ru 2.96

12.
Pr4SiGeI2 after structural relaxation, computed with PBE.

Values from the calculation:
Space-group type: No. 10
Total moment (Bohr magnetons per cell): 0.000
E (eV per atom): -5.028
Raw formation energy (meV per atom): -995

Cell: 4.3783 7.5710 8.1835 Å, 108.01 90.00 90.00°
Last column: nearest neighbours and their distance in Å.
Sites, in units of the cell vectors:
Pr1 0.5000 0.2306 0.1988  2 Si 2.95, 1 Ge 2.98
Pr2 0.5000 0.7694 0.8012  2 Si 2.95, 1 Ge 2.98
Pr3 0.0000 0.2645 0.8006  1 Si 2.95, 2 Ge 2.97
Pr4 0.0000 0.7355 0.1994  1 Si 2.95, 2 Ge 2.97
Si1 0.0000 0.0000 0.0000  6 Pr 2.95
Ge1 0.5000 0.5000 0.0000  6 Pr 2.97-2.98
I1 0.5000 0.0000 0.5000  6 Pr 3.43-3.44
I2 0.0000 0.5000 0.5000  6 Pr 3.45-3.46